No. 1
# SbRuPt2

A relaxed structure of SbRuPt2 (PBEsol, the Alexandria database).

Computed properties:
- E_form (uncorrected): 0.163 eV/atom
- E: -7.0014 eV/atom
- Volume: 64.3 Å³/f.u.

Cell: 3.027 3.027 7.017 Å, 90.00 90.00 90.00°
Space group P4mm (No. 99)
Symmetry-distinct sites (fractional):
1 Sb 0.000 0.000 0.000
2 Ru 0.500 0.500 0.756
3 Pt 0.000 0.000 0.519
4 Pt 0.500 0.500 0.266

=====

No. 2
# NaTe2RuN

A relaxed structure of NaTe2RuN (PBEsol, the Alexandria database).

Computed properties:
- Polymorph energy (0 for the lowest one): 0.0000 eV/atom
- E_form (uncorrected): -0.015 eV/atom
- E: -5.4456 eV/atom
- Volume: 110.6 Å³/f.u.

Cell: 5.543 5.543 3.599 Å, 90.00 90.00 90.00°
Space group P4/mmm (No. 123)
Symmetry-distinct sites (fractional):
1 Na 0.000 0.000 0.000
2 Te 0.000 0.500 0.500
3 Ru 0.500 0.500 0.500
4 N 0.500 0.500 0.000

=====

No. 3
# BaLiLa2

A relaxed structure of BaLiLa2 (PBEsol, the Alexandria database).

Computed properties:
- Energy of formation from the pure elements: 0.285 eV per atom
- Polymorph energy (0 for the lowest one): 0.0000 eV/atom
- E: -3.4173 eV/atom
- Volume: 136.8 Å³/f.u.

Cell: 8.179 8.179 8.179 Å, 90.00 90.00 90.00°
Space group F-43m (No. 216)
Symmetry-distinct sites (fractional):
1 Ba 0.000 0.000 0.000
2 Li 0.250 0.250 0.250
3 La 0.000 0.000 0.500
4 La 0.250 0.250 0.750

=====

No. 4
# CdSb2Pt

A relaxed structure of CdSb2Pt (PBEsol, the Alexandria database).

Computed properties:
- E_form (uncorrected): 0.092 eV/atom
- E: -4.2270 eV/atom
- Volume: 84.7 Å³/f.u.

Cell: 4.527 4.527 4.131 Å, 90.00 90.00 90.00°
Space group P4/mmm (No. 123)
Symmetry-distinct sites (fractional):
1 Cd 0.000 0.000 0.000
2 Sb 0.000 0.500 0.500
3 Pt 0.500 0.500 0.000